# 1
VASP calculation (PBE) on a geometry-optimized LiAc2ZnO5 structure.

a b c (Å): 7.357 7.357 9.670
angles (deg): 90.00 90.00 151.50
Positions (direct):
Li (0.219, 0.781, 0.500)
Li (0.781, 0.219, 0.000)
Ac (0.120, 0.880, 0.807)
Ac (0.129, 0.871, 0.186)
Ac (0.871, 0.129, 0.686)
Ac (0.880, 0.120, 0.307)
Zn (0.421, 0.579, 0.986)
Zn (0.579, 0.421, 0.486)
O (0.036, 0.964, 0.546)
O (0.302, 0.698, 0.852)
O (0.312, 0.688, 0.146)
O (0.352, 0.648, 0.502)
O (0.487, 0.513, 0.793)
O (0.513, 0.487, 0.293)
O (0.648, 0.352, 0.002)
O (0.688, 0.312, 0.646)
O (0.698, 0.302, 0.352)
O (0.964, 0.036, 0.046)

Summary:
SG = Cmc2_1
formation energy (no corrections) = -2.380 eV per atom
Fermi-level density of states = 11.50 states/eV per cell

***

# 2
VASP calculation (PBE) on a geometry-optimized LiAcZnO3 structure.

a b c (Å): 5.776 5.776 5.526
angles (deg): 90.00 90.00 123.00
Positions (direct):
Li (0.080, 0.920, 0.750)
Li (0.920, 0.080, 0.250)
Ac (0.188, 0.812, 0.250)
Ac (0.812, 0.188, 0.750)
Zn (0.465, 0.535, 0.750)
Zn (0.535, 0.465, 0.250)
O (0.232, 0.232, 0.000)
O (0.232, 0.232, 0.500)
O (0.262, 0.738, 0.750)
O (0.738, 0.262, 0.250)
O (0.768, 0.768, 0.000)
O (0.768, 0.768, 0.500)

Summary:
SG = Cmcm
formation energy (no corrections) = -2.122 eV per atom
Fermi-level density of states = 0.00 states/eV per cell

***

# 3
VASP calculation (PBE) on a geometry-optimized LiAc2Zn2O6 structure.

a b c (Å): 6.455 6.455 6.455
angles (deg): 54.12 54.12 54.12
Positions (direct):
Li (0.000, 0.000, 0.000)
Ac (0.210, 0.210, 0.210)
Ac (0.790, 0.790, 0.790)
Zn (0.421, 0.421, 0.421)
Zn (0.579, 0.579, 0.579)
O (0.210, 0.756, 0.756)
O (0.244, 0.244, 0.790)
O (0.244, 0.790, 0.244)
O (0.756, 0.210, 0.756)
O (0.756, 0.756, 0.210)
O (0.790, 0.244, 0.244)

Summary:
SG = R-3m
formation energy (no corrections) = -1.949 eV per atom
Fermi-level density of states = 7.99 states/eV per cell

***

# 4
VASP calculation (PBE) on a geometry-optimized Li2Ac3ZrO9 structure.

a b c (Å): 5.703 5.703 7.078
angles (deg): 90.00 90.00 120.00
Positions (direct):
Li (0.333, 0.667, 0.182)
Li (0.667, 0.333, 0.818)
Ac (0.000, 0.000, 0.000)
Ac (0.333, 0.667, 0.710)
Ac (0.667, 0.333, 0.290)
Zr (0.000, 0.000, 0.500)
O (0.000, 0.500, 0.000)
O (0.165, 0.331, 0.321)
O (0.165, 0.835, 0.321)
O (0.331, 0.165, 0.679)
O (0.500, 0.000, 0.000)
O (0.500, 0.500, 0.000)
O (0.669, 0.835, 0.321)
O (0.835, 0.165, 0.679)
O (0.835, 0.669, 0.679)

Summary:
SG = P-3m1
formation energy (no corrections) = -2.538 eV per atom
Fermi-level density of states = 7.90 states/eV per cell

***

# 5
VASP calculation (PBE) on a geometry-optimized LiAc3Zr2O9 structure.

a b c (Å): 5.828 5.828 7.271
angles (deg): 90.00 90.00 120.00
Positions (direct):
Li (0.000, 0.000, 0.000)
Ac (0.000, 0.000, 0.500)
Ac (0.333, 0.667, 0.138)
Ac (0.667, 0.333, 0.862)
Zr (0.333, 0.667, 0.675)
Zr (0.667, 0.333, 0.325)
O (0.000, 0.500, 0.500)
O (0.167, 0.334, 0.836)
O (0.167, 0.833, 0.836)
O (0.334, 0.167, 0.164)
O (0.500, 0.000, 0.500)
O (0.500, 0.500, 0.500)
O (0.666, 0.833, 0.836)
O (0.833, 0.167, 0.164)
O (0.833, 0.666, 0.164)

Summary:
SG = P-3m1
formation energy (no corrections) = -3.109 eV per atom
Fermi-level density of states = 0.00 states/eV per cell

***

# 6
VASP calculation (PBE) on a geometry-optimized LiAcZrO4 structure.

a b c (Å): 7.160 7.160 7.160
angles (deg): 125.79 112.68 91.69
Positions (direct):
Li (0.286, 0.036, 0.250)
Li (0.714, 0.964, 0.750)
Ac (0.000, 0.500, 0.500)
Ac (0.500, 0.500, 0.000)
Zr (0.000, 0.000, 0.500)
Zr (0.000, 0.500, 0.000)
O (0.169, 0.744, 0.426)
O (0.182, 0.256, 0.926)
O (0.216, 0.230, 0.514)
O (0.216, 0.702, 0.986)
O (0.784, 0.298, 0.014)
O (0.784, 0.770, 0.486)
O (0.818, 0.744, 0.074)
O (0.831, 0.256, 0.574)

Summary:
SG = Imma
formation energy (no corrections) = -2.942 eV per atom
Fermi-level density of states = 0.00 states/eV per cell

***

What is the formula in the second record? LiAcZnO3

***

Copy entry 3 word for word.
VASP calculation (PBE) on a geometry-optimized LiAc2Zn2O6 structure.

a b c (Å): 6.455 6.455 6.455
angles (deg): 54.12 54.12 54.12
Positions (direct):
Li (0.000, 0.000, 0.000)
Ac (0.210, 0.210, 0.210)
Ac (0.790, 0.790, 0.790)
Zn (0.421, 0.421, 0.421)
Zn (0.579, 0.579, 0.579)
O (0.210, 0.756, 0.756)
O (0.244, 0.244, 0.790)
O (0.244, 0.790, 0.244)
O (0.756, 0.210, 0.756)
O (0.756, 0.756, 0.210)
O (0.790, 0.244, 0.244)

Summary:
SG = R-3m
formation energy (no corrections) = -1.949 eV per atom
Fermi-level density of states = 7.99 states/eV per cell